Hf2ZrIrSe | PBE | relaxed

Lattice parameters (Å, degrees): 4.992 4.964 4.992 90.00 90.00 90.00
Element x y z (fractional)
Ir: 0.000 0.000 0.000
Hf: 0.000 0.000 0.500
Hf: 0.500 0.000 0.000
Zr: 0.500 0.500 0.500
Se: 0.000 0.500 0.000

Formation energy from raw total energies in eV/atom: 0.484
D(E_F) in states/eV/cell: 8.04
Crystal system: tetragonal
Symmetry: P4/mmm (123)